Entry from Alexandria: Si2Se after structural relaxation (PBE).

POSCAR file:
```
Si2Se
1.0
-2.949 -1.540 -1.368
1.997 -2.722 -1.241
-0.620 -2.186 3.797
Se Si
1 2
direct
0.000 0.000 0.500
0.000 0.500 0.000
0.500 0.000 0.000
```

As for the energy above the most stable polymorph in this dataset: 545 meV/atom. The value obtained for the density of states at the Fermi level is 1.31 states/eV per cell. For the formation energy without anion corrections, the calculation gives 0.3766 eV per atom.